Below is a relaxed structure of CaHfAl2, with properties calculated at the GGA-PBE level.

a = 7.8144 Å, b = 7.8144 Å, c = 6.3166 Å
α = 90.00°, β = 90.00°, γ = 90.00°
With the nearest neighbours (Å) after each atom.
Space group I-42d (No. 122)
Symmetry-distinct sites (fractional):
Ca: 0.0000 0.0000 0.0000  4 Al 2.98, 2 Hf 3.16
Hf: 0.0000 0.0000 0.5000  4 Al 2.77
Al: 0.2310 0.2500 0.6250  2 Hf 2.77, 2 Ca 2.98

- Energy of formation from the pure elements: 354.6 meV/atom
- Excess energy over the best structure of this formula in the dataset: 601 meV/atom



Below is a relaxed structure of Ca2SnBr6, with properties calculated at the GGA-PBE level.

a = 7.5046 Å, b = 7.5046 Å, c = 6.9103 Å
α = 90.00°, β = 90.00°, γ = 120.00°
With the nearest neighbours (Å) after each atom.
Space group P-31m (No. 162)
Symmetry-distinct sites (fractional):
Ca: 0.3333 0.6667 0.0000  6 Br 2.93
Sn: 0.0000 0.0000 0.0000  6 Br 3.02
Br: 0.0000 0.3427 0.2288  2 Ca 2.93, 1 Sn 3.02

- Excess energy over the best structure of this formula in the dataset: 0 meV/atom
- ΔE_f (raw): -1.619 eV/atom



Below is a relaxed structure of PaNbPN, with properties calculated at the GGA-PBE level.

a = 3.9074 Å, b = 3.9074 Å, c = 8.7534 Å
α = 90.00°, β = 90.00°, γ = 90.00°
With the nearest neighbours (Å) after each atom.
Space group P4/nmm (No. 129, origin choice 2)
Symmetry-distinct sites (fractional):
Pa: 0.2500 0.2500 0.1374  4 N 2.29
Nb: 0.2500 0.7500 0.5000  4 P 2.60, 4 Nb 2.76
P: 0.2500 0.2500 0.6961  4 Nb 2.60
N: 0.2500 0.7500 0.0000  4 Pa 2.29

- ΔE_f (raw): -1.310 eV/atom



Below is a relaxed structure of DyTm2Hg6, with properties calculated at the GGA-PBE level.

a = 14.2896 Å, b = 11.6091 Å, c = 5.4031 Å
α = 90.00°, β = 99.98°, γ = 90.00°
With the nearest neighbours (Å) after each atom.
Space group C2/c (No. 15)
Symmetry-distinct sites (fractional):
Dy: 0.0000 0.1258 0.2500  10 Hg 3.12-3.33
Tm: 0.1666 0.3750 0.0844  10 Hg 3.09-3.30
Hg: 0.0550 0.3758 0.5293  5 Hg 3.08-3.29, 4 Tm 3.11-3.29, 1 Dy 3.30
Hg: 0.1125 0.1262 0.8045  5 Hg 3.09-3.32, 2 Tm 3.11-3.29, 3 Dy 3.12-3.33
Hg: 0.2236 0.1256 0.3616  5 Hg 3.09-3.32, 4 Tm 3.09-3.30, 1 Dy 3.15

- Energy of formation from the pure elements: -379.7 meV/atom
- Excess energy over the best structure of this formula in the dataset: 0 meV/atom



Below is a relaxed structure of PrSm4Ag2, with properties calculated at the GGA-PBE level.

a = 5.0000 Å, b = 5.0000 Å, c = 31.8456 Å
α = 90.00°, β = 90.00°, γ = 120.00°
With the nearest neighbours (Å) after each atom.
Space group R-3m (No. 166, hexagonal axes)
Symmetry-distinct sites (fractional):
Pr: 0.0000 0.0000 0.0000  2 Ag 3.24, 6 Sm 3.48
Sm: 0.0000 0.0000 0.2020  4 Ag 3.04-3.20
Sm: 0.0000 0.0000 0.3941  3 Ag 3.17, 3 Pr 3.48
Ag: 0.0000 0.0000 0.1016  7 Sm 3.04-3.20, 1 Pr 3.24

- Energy of formation from the pure elements: 178.2 meV/atom



Below is a relaxed structure of NbTlF2, with properties calculated at the GGA-PBE level.

a = 4.4087 Å, b = 4.4087 Å, c = 14.4396 Å
α = 90.00°, β = 90.00°, γ = 90.00°
With the nearest neighbours (Å) after each atom.
Space group I-42d (No. 122)
Symmetry-distinct sites (fractional):
Nb: 0.0000 0.0000 0.0000  4 F 2.15
Tl: 0.0000 0.0000 0.5000  4 F 2.80, 4 Nb 3.12
F: 0.0836 0.2500 0.1250  2 Nb 2.15, 2 F 2.32

- Excess energy over the best structure of this formula in the dataset: 254 meV/atom
- ΔE_f (raw): -1.206 eV/atom



Below is a relaxed structure of Ac2Ge4SbPd3, with properties calculated at the GGA-PBE level.

a = 4.5559 Å, b = 4.5559 Å, c = 10.5860 Å
α = 90.00°, β = 90.00°, γ = 90.00°
With the nearest neighbours (Å) after each atom.
Space group P-4m2 (No. 115)
Symmetry-distinct sites (fractional):
Ac: 0.0000 0.5000 0.2351  8 Ge 3.37-3.45, 7 Pd 3.46-3.73, 2 Sb 3.61
Ge: 0.0000 0.0000 0.0000  4 Pd 2.59
Ge: 0.0000 0.5000 0.6483  3 Pd 2.48-2.77, 2 Sb 2.77
Ge: 0.5000 0.5000 0.0000  4 Pd 2.59
Sb: 0.0000 0.0000 0.5000  4 Ge 2.77
Pd: 0.0000 0.5000 0.8829  5 Ge 2.48-2.59
Pd: 0.5000 0.5000 0.5000  4 Ge 2.77

- ΔE_f (raw): -0.685 eV/atom



Below is a relaxed structure of MgCd6Pb, with properties calculated at the GGA-PBE level.

a = 4.5696 Å, b = 4.5696 Å, c = 9.0773 Å
α = 90.00°, β = 90.00°, γ = 90.00°
With the nearest neighbours (Å) after each atom.
Space group P4/mmm (No. 123)
Symmetry-distinct sites (fractional):
Mg: 0.0000 0.0000 0.0000  12 Cd 3.12-3.23
Cd: 0.0000 0.5000 0.2335  8 Cd 3.12-3.33, 2 Mg 3.12, 2 Pb 3.33
Cd: 0.5000 0.5000 0.0000  8 Cd 3.12, 4 Mg 3.23
Cd: 0.5000 0.5000 0.5000  4 Pb 3.23, 8 Cd 3.33
Pb: 0.0000 0.0000 0.5000  12 Cd 3.23-3.33

- Energy of formation from the pure elements: -7.1 meV/atom



Below is a relaxed structure of CeTi2NiP4, with properties calculated at the GGA-PBE level.

a = 3.6849 Å, b = 12.0843 Å, c = 12.2851 Å
α = 90.00°, β = 90.00°, γ = 90.00°
With the nearest neighbours (Å) after each atom.
Space group Cmcm (No. 63)
Symmetry-distinct sites (fractional):
Ce: 0.0000 0.1186 0.2500  6 P 2.77-2.86
Ti: 0.0000 0.3709 0.0602  6 P 2.48-2.56
Ni: 0.0000 0.1488 0.7500  4 P 2.18-2.19
P: 0.0000 0.0000 0.0000  4 Ti 2.52
P: 0.0000 0.2657 0.6135  1 Ni 2.19
P: 0.0000 0.4475 0.2500  2 Ni 2.18

- Energy of formation from the pure elements: -1034.2 meV/atom



Below is a relaxed structure of ZrSbRu, with properties calculated at the GGA-PBE level.

a = 6.4018 Å, b = 6.4018 Å, c = 6.4018 Å
α = 90.00°, β = 90.00°, γ = 90.00°
With the nearest neighbours (Å) after each atom.
Space group F-43m (No. 216)
Symmetry-distinct sites (fractional):
Zr: 0.0000 0.0000 0.0000  4 Sb 2.77
Sb: 0.2500 0.2500 0.7500  4 Zr 2.77, 4 Ru 2.77
Ru: 0.0000 0.0000 0.5000  4 Sb 2.77

- ΔE_f (raw): 0.034 eV/atom



Below is a relaxed structure of Tb6Ag5Sn, with properties calculated at the GGA-PBE level.

a = 5.1895 Å, b = 15.6097 Å, c = 7.3643 Å
α = 90.00°, β = 90.00°, γ = 90.00°
With the nearest neighbours (Å) after each atom.
Space group Cmmm (No. 65)
Symmetry-distinct sites (fractional):
Tb: 0.0000 0.0000 0.2450  6 Ag 3.16-3.22, 2 Sn 3.20
Tb: 0.0000 0.3311 0.2462  7 Ag 3.15-3.20, 1 Sn 3.23
Ag: 0.0000 0.1660 0.0000  8 Tb 3.15-3.17
Ag: 0.0000 0.1673 0.5000  8 Tb 3.17-3.22
Ag: 0.0000 0.5000 0.0000  8 Tb 3.16-3.20
Sn: 0.0000 0.5000 0.5000  8 Tb 3.20-3.23

- Energy of formation from the pure elements: -378.7 meV/atom



Below is a relaxed structure of GdPuInPb, with properties calculated at the GGA-PBE level.

a = 7.6759 Å, b = 7.6759 Å, c = 7.6759 Å
α = 90.00°, β = 90.00°, γ = 90.00°
With the nearest neighbours (Å) after each atom.
Space group F-43m (No. 216)
Symmetry-distinct sites (fractional):
Gd: 0.0000 0.0000 0.0000  4 In 3.32, 4 Pb 3.32
Pu: 0.0000 0.0000 0.5000  4 Pb 3.32, 4 In 3.32
In: 0.2500 0.2500 0.7500  4 Gd 3.32, 4 Pu 3.32
Pb: 0.2500 0.2500 0.2500  4 Gd 3.32, 4 Pu 3.32

- Energy of formation from the pure elements: -247.3 meV/atom



Below is a relaxed structure of LaMg5Ag4, with properties calculated at the GGA-PBE level.

a = 3.3930 Å, b = 3.3930 Å, c = 18.1024 Å
α = 90.00°, β = 90.00°, γ = 90.00°
With the nearest neighbours (Å) after each atom.
Space group P4/mmm (No. 123)
Symmetry-distinct sites (fractional):
La: 0.0000 0.0000 0.0000  4 La 3.39, 8 Mg 3.52
Mg: 0.5000 0.5000 0.1426  4 Ag 2.87, 1 Mg 3.22
Mg: 0.5000 0.5000 0.3203  8 Ag 2.90, 1 Mg 3.22
Mg: 0.5000 0.5000 0.5000  8 Ag 2.90
Ag: 0.0000 0.0000 0.2301  8 Mg 2.87-2.90
Ag: 0.0000 0.0000 0.4104  8 Mg 2.90

- Energy of formation from the pure elements: -202.2 meV/atom



Below is a relaxed structure of Ce5Bi2Te2, with properties calculated at the GGA-PBE level.

a = 16.0114 Å, b = 8.4071 Å, c = 8.4458 Å
α = 90.00°, β = 90.00°, γ = 90.00°
With the nearest neighbours (Å) after each atom.
Space group Cmce (No. 64)
Symmetry-distinct sites (fractional):
Ce: 0.0000 0.0000 0.0000  4 Te 3.23, 2 Bi 3.23
Ce: 0.1319 0.1575 0.3418  3 Te 3.16-3.32, 3 Bi 3.26-3.37
Bi: 0.2018 0.0000 0.0000  7 Ce 3.23-3.37
Te: 0.0000 0.1446 0.6454  8 Ce 3.16-3.32, 1 Te 3.46

- Excess energy over the best structure of this formula in the dataset: 10 meV/atom
- ΔE_f (raw): -0.889 eV/atom



Below is a relaxed structure of Co2BiP, with properties calculated at the GGA-PBE level.

a = 4.4626 Å, b = 4.4626 Å, c = 14.2518 Å
α = 90.00°, β = 90.00°, γ = 90.00°
With the nearest neighbours (Å) after each atom.
Space group I-42d (No. 122)
Symmetry-distinct sites (fractional):
Co: 0.1172 0.2500 0.1250  2 P 2.17
Bi: 0.0000 0.0000 0.5000  4 Co 2.71
P: 0.0000 0.0000 0.0000  4 Co 2.17

- Energy of formation from the pure elements: 114.4 meV/atom



Below is a relaxed structure of MnVTe2, with properties calculated at the GGA-PBE level.

a = 6.3537 Å, b = 6.3537 Å, c = 12.2676 Å
α = 90.00°, β = 90.00°, γ = 90.00°
With the nearest neighbours (Å) after each atom.
Space group I-42d (No. 122)
Symmetry-distinct sites (fractional):
Mn: 0.0000 0.0000 0.0000  4 Te 2.72
V: 0.0000 0.0000 0.5000  4 Te 2.72
Te: 0.2488 0.2500 0.6250  2 V 2.72, 2 Mn 2.72

- Excess energy over the best structure of this formula in the dataset: 235 meV/atom
- ΔE_f (raw): 0.064 eV/atom



Below is a relaxed structure of Mg2OsPb, with properties calculated at the GGA-PBE level.

a = 3.5029 Å, b = 4.7253 Å, c = 9.2947 Å
α = 90.00°, β = 90.00°, γ = 90.00°
With the nearest neighbours (Å) after each atom.
Space group Imm2 (No. 44)
Symmetry-distinct sites (fractional):
Mg: 0.0000 0.0000 0.0000  2 Os 2.75, 4 Pb 2.96, 2 Mg 3.06
Mg: 0.0000 0.5000 0.2306  4 Os 2.94, 4 Pb 3.02-3.22, 4 Mg 3.06-3.19
Os: 0.0000 0.5000 0.7275  6 Mg 2.75-2.94, 2 Pb 2.83
Pb: 0.0000 0.0000 0.4660  2 Os 2.83, 6 Mg 2.96-3.02

- Energy of formation from the pure elements: 319.4 meV/atom



Below is a relaxed structure of Sc2SeBr, with properties calculated at the GGA-PBE level.

a = 3.6965 Å, b = 3.6965 Å, c = 26.6860 Å
α = 90.00°, β = 90.00°, γ = 120.00°
With the nearest neighbours (Å) after each atom.
Space group R-3m (No. 166, hexagonal axes)
Symmetry-distinct sites (fractional):
Sc: 0.0000 0.0000 0.0906  1 Se 2.42
Se: 0.0000 0.0000 0.0000  2 Sc 2.42
Br: 0.0000 0.0000 0.5000  6 Sc 2.94

- Excess energy over the best structure of this formula in the dataset: 665 meV/atom
- ΔE_f (raw): -0.572 eV/atom



Below is a relaxed structure of MnFe3Si, with properties calculated at the GGA-PBE level.

a = 4.1835 Å, b = 4.1835 Å, c = 4.1835 Å
α = 90.00°, β = 90.00°, γ = 90.00°
With the nearest neighbours (Å) after each atom.
Space group Pm-3m (No. 221)
Symmetry-distinct sites (fractional):
Mn: 0.0000 0.0000 0.0000  6 Fe 2.09
Fe: 0.0000 0.0000 0.5000  2 Mn 2.09
Si: 0.5000 0.5000 0.5000  12 Fe 2.96

- Excess energy over the best structure of this formula in the dataset: 488 meV/atom
- ΔE_f (raw): 1.177 eV/atom



Below is a relaxed structure of CdHgPb, with properties calculated at the GGA-PBE level.

a = 6.1871 Å, b = 6.1871 Å, c = 8.4177 Å
α = 90.00°, β = 90.01°, γ = 90.00°
With the nearest neighbours (Å) after each atom.
Space group Cm (No. 8)
Symmetry-distinct sites (fractional):
Cd: 0.0000 0.2502 0.0000  4 Hg 3.07, 4 Cd 3.09-3.10
Hg: 0.2500 0.0000 0.2563  4 Cd 3.07, 5 Pb 3.16-3.24
Hg: 0.2508 0.5000 0.7438  4 Cd 3.07, 5 Pb 3.16-3.24
Pb: 0.2502 0.5000 0.3687  5 Hg 3.16-3.24
Pb: 0.2509 0.0000 0.6314  5 Hg 3.16-3.24

- Energy of formation from the pure elements: 30.3 meV/atom



Below is a relaxed structure of Pu2BiSe2O2, with properties calculated at the GGA-PBE level.

a = 3.6990 Å, b = 3.6990 Å, c = 14.6235 Å
α = 90.00°, β = 90.00°, γ = 120.00°
With the nearest neighbours (Å) after each atom.
Space group P-3m1 (No. 164)
Symmetry-distinct sites (fractional):
Pu: 0.3333 0.6667 0.2551  3 O 2.22
Bi: 0.0000 0.0000 0.5000  6 O 3.65, 6 Bi 3.70
Se: 0.0000 0.0000 0.1295  3 Pu 2.82
O: 0.3333 0.6667 0.7027  3 Pu 2.22

- ΔE_f (raw): -1.611 eV/atom



Below is a relaxed structure of HfNbSi, with properties calculated at the GGA-PBE level.

a = 11.8314 Å, b = 3.5843 Å, c = 5.1340 Å
α = 90.00°, β = 94.77°, γ = 90.00°
With the nearest neighbours (Å) after each atom.
Space group C2/m (No. 12)
Symmetry-distinct sites (fractional):
Hf: 0.1297 0.0000 0.3634  4 Si 2.70-2.97
Nb: 0.0720 0.5000 0.8167  3 Si 2.60-2.76, 1 Nb 2.64
Si: 0.2312 0.0000 0.8538  2 Si 2.36, 2 Nb 2.60

- ΔE_f (raw): -0.412 eV/atom



Values of raw total energy, in order: -72.09, -32.62, -77.08, -75.09, -84.33, -84.01, -53.24, -10.85, -229.67, -87.37, -101.17, -143.39, -26.33, -206.85, -92.18, -97.26, -33.70, -60.32, -34.09, -19.34, -60.71, -106.72, all in eV per cell.